FePSe: PBEsol geometry, meta-GGA SCAN.

The structure in POSCAR format:
```
FePSe
1.0
-2.512 -0.113 5.037
-3.295 -4.259 -1.738
4.882 -1.795 2.394
P Fe Se
4 4 4
Direct
0.364 0.141 0.883 P
0.864 0.859 0.617 P
0.136 0.141 0.383 P
0.636 0.859 0.117 P
0.508 0.735 0.711 Fe
0.492 0.265 0.289 Fe
0.008 0.265 0.789 Fe
0.992 0.735 0.211 Fe
0.871 0.339 0.186 Se
0.371 0.661 0.314 Se
0.629 0.339 0.686 Se
0.129 0.661 0.814 Se
```

## Properties
Raw total energy = -16.527 eV/atom
Formation energy without anion corrections = -7.5 kcal/mol of atoms
Space-group type = P2_1/c (14)